## ReSb2Br (PBE-GGA)

Data for a relaxed ReSb2Br crystal.

abc: 3.187 3.187 11.144
angles: 90.00 90.00 121.82
Sites, in units of the cell vectors:
Sb (0.500, 0.500, 0.258)
Br (0.000, 0.000, 0.557)
Re (0.500, 0.500, 0.739)
Sb (0.000, 0.000, 0.947)

Properties
The value obtained for the energy above the most stable polymorph in this dataset is 0.4584 eV per atom. Its space group is No. 35.